Record 1
DFT (PBE-GGA) results for an optimized crystal structure of BiSe2.

Unit cell a=4.180 b=5.746 c=8.209 alpha=104.68 beta=91.01 gamma=91.29
Element x y z (fractional)
Bi 0.000 0.000 0.000
Bi 0.007 0.248 0.582
Se 0.095 0.459 0.915
Se 0.495 0.930 0.698
Se 0.510 0.053 0.238
Se 0.510 0.544 0.482

Properties
For the uncorrected formation energy, the calculation gives -241 meV per atom.



Record 2
DFT (PBE-GGA) results for an optimized crystal structure of Bi5Se8.

Unit cell a=8.605 b=8.605 c=8.605 alpha=60.00 beta=60.00 gamma=60.00
Element x y z (fractional)
Bi 0.000 0.000 0.000
Bi 0.384 0.384 0.384
Bi 0.384 0.384 0.849
Bi 0.384 0.849 0.384
Bi 0.849 0.384 0.384
Se 0.131 0.131 0.131
Se 0.131 0.131 0.608
Se 0.131 0.608 0.131
Se 0.142 0.619 0.619
Se 0.608 0.131 0.131
Se 0.619 0.142 0.619
Se 0.619 0.619 0.142
Se 0.619 0.619 0.619

Properties
The density of states at the Fermi level is 7.360 states/eV/f.u. For the uncorrected formation energy, the calculation gives -300 meV per atom.



Record 3
DFT (PBE-GGA) results for an optimized crystal structure of BiSe3.

Unit cell a=4.088 b=4.393 c=5.793 alpha=90.00 beta=90.00 gamma=90.00
Element x y z (fractional)
Bi 0.000 0.000 0.000
Se 0.000 0.000 0.500
Se 0.500 0.500 0.000
Se 0.500 0.500 0.500

Properties
The density of states at the Fermi level is 1.126 states/eV/f.u. For the uncorrected formation energy, the calculation gives -15 meV per atom.



Record 4
DFT (PBE-GGA) results for an optimized crystal structure of BiSe2.

Unit cell a=4.153 b=5.311 c=8.864 alpha=75.54 beta=77.45 gamma=89.30
Element x y z (fractional)
Bi 0.000 0.000 0.000
Bi 0.292 0.816 0.451
Se 0.401 0.390 0.739
Se 0.427 0.221 0.149
Se 0.599 0.959 0.731
Se 0.849 0.578 0.323

Properties
The density of states at the Fermi level is 0.103 states/eV/f.u. For the uncorrected formation energy, the calculation gives -203 meV per atom.



Record 5
DFT (PBE-GGA) results for an optimized crystal structure of BiSe2.

Unit cell a=7.597 b=7.597 c=8.529 alpha=122.51 beta=122.51 gamma=31.76
Element x y z (fractional)
Bi 0.000 0.000 0.000
Bi 0.196 0.196 0.726
Se 0.422 0.422 0.123
Se 0.519 0.519 0.524
Se 0.613 0.613 0.877
Se 0.811 0.811 0.649

Properties
For the uncorrected formation energy, the calculation gives -217 meV per atom.



Record 6
DFT (PBE-GGA) results for an optimized crystal structure of BiSe2.

Unit cell a=4.286 b=6.589 c=7.807 alpha=110.76 beta=91.35 gamma=107.81
Element x y z (fractional)
Bi 0.000 0.000 0.000
Bi 0.441 0.783 0.368
Se 0.043 0.985 0.627
Se 0.348 0.683 0.960
Se 0.694 0.378 0.178
Se 0.867 0.230 0.399

Properties
For the uncorrected formation energy, the calculation gives -207 meV per atom.



Record 7
DFT (PBE-GGA) results for an optimized crystal structure of Bi5Se.

Unit cell a=11.601 b=11.601 c=4.524 alpha=90.00 beta=90.00 gamma=160.78
Element x y z (fractional)
Bi 0.000 0.000 0.000
Bi 0.190 0.810 0.500
Bi 0.373 0.627 0.000
Bi 0.627 0.373 0.000
Bi 0.810 0.190 0.500
Se 0.500 0.500 0.500

Properties
The density of states at the Fermi level is 3.834 states/eV/f.u. For the uncorrected formation energy, the calculation gives 74 meV per atom.



Record 8
DFT (PBE-GGA) results for an optimized crystal structure of BiSe2.

Unit cell a=5.396 b=5.396 c=8.171 alpha=93.86 beta=93.86 gamma=48.85
Element x y z (fractional)
Bi 0.190 0.190 0.220
Bi 0.810 0.810 0.780
Se 0.133 0.133 0.855
Se 0.386 0.386 0.535
Se 0.614 0.614 0.465
Se 0.867 0.867 0.145

Properties
For the uncorrected formation energy, the calculation gives -256 meV per atom.